# 1
This record from Alexandria describes Cr2AsPb after structural relaxation. The functional is GGA-PBE.

The value obtained for the total moment is 1.794 μB per atom. Its energy above the most stable polymorph in this dataset is 160 meV/atom. The value obtained for the density of states at the Fermi level is 3.1 states/eV/cell. The calculation puts the formation energy from the elements at 0.379 eV/atom. Its crystal system is monoclinic.

The structure in CIF format:
```
data_Cr2AsPb
_cell_length_a 3.267
_cell_length_b 3.267
_cell_length_c 7.385
_cell_angle_alpha 90.00
_cell_angle_beta 97.17
_cell_angle_gamma 90.00
_symmetry_space_group_name_H-M 'P 1 2/m 1'
_symmetry_Int_Tables_number 10
_symmetry_space_group_name_Hall '-P 2y'
loop_
_atom_site_label
_atom_site_type_symbol
_atom_site_fract_x
_atom_site_fract_y
_atom_site_fract_z
_atom_site_occupancy
Cr1 Cr 0.012 0.000 0.194 1
As1 As 0.500 0.500 0.000 1
Pb1 Pb 0.500 0.500 0.500 1
```

# 2
This record from Alexandria describes Ni4C3 after structural relaxation. The functional is GGA-PBE.

The value obtained for the total moment is 0.000 μB per atom. Its energy above the most stable polymorph in this dataset is 48 meV/atom. The value obtained for the density of states at the Fermi level is 5.9 states/eV/cell. The calculation puts the formation energy from the elements at 0.775 eV/atom. Its crystal system is cubic.

The structure in CIF format:
```
data_Ni4C3
_cell_length_a 3.972
_cell_length_b 3.972
_cell_length_c 3.972
_cell_angle_alpha 90.00
_cell_angle_beta 90.00
_cell_angle_gamma 90.00
_symmetry_space_group_name_H-M 'P m -3 m'
_symmetry_Int_Tables_number 221
_symmetry_space_group_name_Hall '-P 4 2 3'
loop_
_atom_site_label
_atom_site_type_symbol
_atom_site_fract_x
_atom_site_fract_y
_atom_site_fract_z
_atom_site_occupancy
Ni1 Ni 0.000 0.000 0.000 1
Ni2 Ni 0.000 0.500 0.500 1
C1 C 0.000 0.000 0.500 1
```

# 3
This record from Alexandria describes La4Pr3NdS8 after structural relaxation. The functional is GGA-PBE.

The value obtained for the total moment is 0.000 μB per atom. The value obtained for the density of states at the Fermi level is 25.9 states/eV/cell. The value obtained for the formation energy from raw total energies is -33.6 eV/f.u. Its crystal system is trigonal.

The structure in CIF format:
```
data_La4Pr3NdS8
_cell_length_a 8.2605
_cell_length_b 8.2605
_cell_length_c 20.1820
_cell_angle_alpha 90.00
_cell_angle_beta 90.00
_cell_angle_gamma 120.00
_symmetry_space_group_name_H-M 'R -3 m'
_symmetry_Int_Tables_number 166
_symmetry_space_group_name_Hall '-R 3 2"'
loop_
_atom_site_label
_atom_site_type_symbol
_atom_site_fract_x
_atom_site_fract_y
_atom_site_fract_z
_atom_site_occupancy
La1 La 0.0000 0.0000 0.0000 1
La2 La 0.0000 0.5000 0.0000 1
Pr1 Pr 0.0000 0.5000 0.5000 1
Nd1 Nd 0.0000 0.0000 0.5000 1
S1 S 0.0000 0.0000 0.2495 1
S2 S 0.0015 0.5008 0.2491 1
```

# 4
This record from Alexandria describes Cs3PbSe3 after structural relaxation. The functional is GGA-PBE.

The value obtained for the total moment is 0.057 μB per atom. The value obtained for the density of states at the Fermi level is 20.4 states/eV/cell. The value obtained for the formation energy from raw total energies is -6.4 eV/f.u. Its crystal system is monoclinic.

The structure in CIF format:
```
data_Cs3PbSe3
_cell_length_a 10.269
_cell_length_b 8.929
_cell_length_c 14.334
_cell_angle_alpha 90.00
_cell_angle_beta 97.01
_cell_angle_gamma 90.00
_symmetry_space_group_name_H-M 'P 1 21/c 1'
_symmetry_Int_Tables_number 14
_symmetry_space_group_name_Hall '-P 2ybc'
loop_
_atom_site_label
_atom_site_type_symbol
_atom_site_fract_x
_atom_site_fract_y
_atom_site_fract_z
_atom_site_occupancy
Cs1 Cs 0.078 0.159 0.129 1
Cs2 Cs 0.323 0.726 0.791 1
Cs3 Cs 0.396 0.229 0.922 1
Pb1 Pb 0.166 0.584 0.050 1
Se1 Se 0.089 0.056 0.373 1
Se2 Se 0.254 0.629 0.521 1
Se3 Se 0.362 0.073 0.655 1
```

# 5
This record from Alexandria describes Ac6CoPt after structural relaxation. The functional is GGA-PBE.

The value obtained for the total moment is 0.000 μB per atom. The value obtained for the density of states at the Fermi level is 8.6 states/eV/cell. The calculation puts the formation energy from the elements at -0.316 eV/atom. Its crystal system is triclinic.

The structure in CIF format:
```
data_Ac6CoPt
_cell_length_a 7.274
_cell_length_b 7.276
_cell_length_c 8.094
_cell_angle_alpha 90.03
_cell_angle_beta 116.70
_cell_angle_gamma 119.95
_symmetry_space_group_name_H-M 'P -1'
_symmetry_Int_Tables_number 2
_symmetry_space_group_name_Hall '-P 1'
loop_
_atom_site_label
_atom_site_type_symbol
_atom_site_fract_x
_atom_site_fract_y
_atom_site_fract_z
_atom_site_occupancy
Ac1 Ac 0.014 0.420 0.257 1
Ac2 Ac 0.335 0.256 0.742 1
Ac3 Ac 0.339 0.095 0.259 1
Co1 Co 0.500 0.500 0.500 1
Pt1 Pt 0.500 0.000 0.000 1
```

# 6
This record from Alexandria describes TaZn2CuO6 after structural relaxation. The functional is GGA-PBE.

The value obtained for the total moment is 0.000 μB per atom. The value obtained for the density of states at the Fermi level is 5.1 states/eV/cell. The value obtained for the formation energy from raw total energies is -15.4 eV/f.u. Its crystal system is monoclinic.

The structure in CIF format:
```
data_TaZn2CuO6
_cell_length_a 5.410
_cell_length_b 7.412
_cell_length_c 5.639
_cell_angle_alpha 90.00
_cell_angle_beta 102.38
_cell_angle_gamma 90.00
_symmetry_space_group_name_H-M 'P 1 21/m 1'
_symmetry_Int_Tables_number 11
_symmetry_space_group_name_Hall '-P 2yb'
loop_
_atom_site_label
_atom_site_type_symbol
_atom_site_fract_x
_atom_site_fract_y
_atom_site_fract_z
_atom_site_occupancy
Ta1 Ta 0.000 0.000 0.000 1
Zn1 Zn 0.045 0.250 0.555 1
Zn2 Zn 0.484 0.750 0.938 1
Cu1 Cu 0.500 0.000 0.500 1
O1 O 0.146 0.750 0.038 1
O2 O 0.177 0.058 0.342 1
O3 O 0.282 0.076 0.855 1
O4 O 0.371 0.750 0.570 1
```

# 7
This record from Alexandria describes MgFe2Hg after structural relaxation. The functional is GGA-PBE.

The value obtained for the total moment is 1.223 μB per atom. The value obtained for the density of states at the Fermi level is 2.4 states/eV/cell. The calculation puts the formation energy from the elements at 0.386 eV/atom. Its crystal system is tetragonal.

The structure in CIF format:
```
data_MgFe2Hg
_cell_length_a 2.808
_cell_length_b 2.808
_cell_length_c 8.104
_cell_angle_alpha 90.00
_cell_angle_beta 90.00
_cell_angle_gamma 90.00
_symmetry_space_group_name_H-M 'P 4/m m m'
_symmetry_Int_Tables_number 123
_symmetry_space_group_name_Hall '-P 4 2'
loop_
_atom_site_label
_atom_site_type_symbol
_atom_site_fract_x
_atom_site_fract_y
_atom_site_fract_z
_atom_site_occupancy
Mg1 Mg 0.000 0.000 0.000 1
Fe1 Fe 0.500 0.500 0.243 1
Hg1 Hg 0.000 0.000 0.500 1
```

# 8
This record from Alexandria describes RbNbBiN2 after structural relaxation. The functional is GGA-PBE.

The value obtained for the total moment is 0.000 μB per atom. The value obtained for the density of states at the Fermi level is 8.0 states/eV/cell. The value obtained for the formation energy from raw total energies is 14.8 eV/f.u. Its crystal system is tetragonal.

The structure in CIF format:
```
data_RbNbBiN2
_cell_length_a 4.354
_cell_length_b 4.354
_cell_length_c 5.583
_cell_angle_alpha 90.00
_cell_angle_beta 90.00
_cell_angle_gamma 90.00
_symmetry_space_group_name_H-M 'P 4/m m m'
_symmetry_Int_Tables_number 123
_symmetry_space_group_name_Hall '-P 4 2'
loop_
_atom_site_label
_atom_site_type_symbol
_atom_site_fract_x
_atom_site_fract_y
_atom_site_fract_z
_atom_site_occupancy
Rb1 Rb 0.000 0.000 0.000 1
Nb1 Nb 0.000 0.000 0.500 1
Bi1 Bi 0.500 0.500 0.500 1
N1 N 0.000 0.500 0.000 1
```

# 9
This record from Alexandria describes LaLuPb after structural relaxation. The functional is GGA-PBE.

The value obtained for the total moment is 0.000 μB per atom. Its energy above the most stable polymorph in this dataset is 44 meV/atom. The value obtained for the density of states at the Fermi level is 8.6 states/eV/cell. The calculation puts the formation energy from the elements at -0.243 eV/atom. Its crystal system is tetragonal.

The structure in CIF format:
```
data_LaLuPb
_cell_length_a 4.167
_cell_length_b 4.167
_cell_length_c 10.469
_cell_angle_alpha 90.00
_cell_angle_beta 90.00
_cell_angle_gamma 90.00
_symmetry_space_group_name_H-M 'I 4 m m'
_symmetry_Int_Tables_number 107
_symmetry_space_group_name_Hall 'I 4 -2'
loop_
_atom_site_label
_atom_site_type_symbol
_atom_site_fract_x
_atom_site_fract_y
_atom_site_fract_z
_atom_site_occupancy
La1 La 0.000 0.000 0.000 1
Lu1 Lu 0.000 0.000 0.689 1
Pb1 Pb 0.000 0.000 0.328 1
```

# 10
This record from Alexandria describes TmPaSnBi after structural relaxation. The functional is GGA-PBE.

The value obtained for the total moment is 0.294 μB per atom. The value obtained for the density of states at the Fermi level is 26.4 states/eV/cell. The calculation puts the formation energy from the elements at -0.249 eV/atom. Its crystal system is cubic.

The structure in CIF format:
```
data_TmPaSnBi
_cell_length_a 7.580
_cell_length_b 7.580
_cell_length_c 7.580
_cell_angle_alpha 90.00
_cell_angle_beta 90.00
_cell_angle_gamma 90.00
_symmetry_space_group_name_H-M 'F -4 3 m'
_symmetry_Int_Tables_number 216
_symmetry_space_group_name_Hall 'F -4 2 3'
loop_
_atom_site_label
_atom_site_type_symbol
_atom_site_fract_x
_atom_site_fract_y
_atom_site_fract_z
_atom_site_occupancy
Tm1 Tm 0.000 0.000 0.000 1
Pa1 Pa 0.000 0.000 0.500 1
Sn1 Sn 0.250 0.250 0.750 1
Bi1 Bi 0.250 0.250 0.250 1
```

# 11
This record from Alexandria describes SrPb2Au after structural relaxation. The functional is GGA-PBE.

The value obtained for the total moment is 0.000 μB per atom. The value obtained for the density of states at the Fermi level is 3.2 states/eV/cell. The calculation puts the formation energy from the elements at -0.218 eV/atom. Its crystal system is orthorhombic.

The structure in CIF format:
```
data_SrPb2Au
_cell_length_a 5.366
_cell_length_b 5.874
_cell_length_c 7.482
_cell_angle_alpha 90.00
_cell_angle_beta 90.00
_cell_angle_gamma 90.00
_symmetry_space_group_name_H-M 'C m m m'
_symmetry_Int_Tables_number 65
_symmetry_space_group_name_Hall '-C 2 2'
loop_
_atom_site_label
_atom_site_type_symbol
_atom_site_fract_x
_atom_site_fract_y
_atom_site_fract_z
_atom_site_occupancy
Sr1 Sr 0.000 0.000 0.000 1
Pb1 Pb 0.000 0.500 0.297 1
Au1 Au 0.000 0.000 0.500 1
```

# 12
This record from Alexandria describes RuPt after structural relaxation. The functional is GGA-PBE.

The value obtained for the total moment is 0.000 μB per atom. The value obtained for the density of states at the Fermi level is 4.9 states/eV/cell. The calculation puts the formation energy from the elements at 1.105 eV/atom. Its crystal system is tetragonal.

The structure in CIF format:
```
data_RuPt
_cell_length_a 6.870
_cell_length_b 6.870
_cell_length_c 3.932
_cell_angle_alpha 90.00
_cell_angle_beta 90.00
_cell_angle_gamma 90.00
_symmetry_space_group_name_H-M 'P 42/m n m'
_symmetry_Int_Tables_number 136
_symmetry_space_group_name_Hall '-P 4n 2n'
loop_
_atom_site_label
_atom_site_type_symbol
_atom_site_fract_x
_atom_site_fract_y
_atom_site_fract_z
_atom_site_occupancy
Ru1 Ru 0.172 0.172 0.000 1
Pt1 Pt 0.180 0.820 0.000 1
```

| no. | ρ (Mg/m³) |
| --- | --- |
| 1 | 8.20 |
| 2 | 7.18 |
| 3 | 5.76 |
| 4 | 4.29 |
| 5 | 8.46 |
| 6 | 7.09 |
| 7 | 8.75 |
| 8 | 6.52 |
| 9 | 9.52 |
| 10 | 11.10 |
| 11 | 9.84 |
| 12 | 10.60 |